## CsNd2Br2F5 (PBE)

Data for a relaxed CsNd2Br2F5 crystal.

Summary:
The calculation puts the raw formation energy at -3.148 eV/atom. The value obtained for the total moment is 0.00 μB/f.u. The density of states at the Fermi level comes out at 0.0 states/eV/f.u.

abc: 10.611 10.611 3.658
angles: 90.00 90.00 90.00
Atoms (fractional coordinates):
Cs: 0.000 0.000 0.000
Cs: 0.500 0.500 0.000
Nd: 0.126 0.374 0.000
Nd: 0.374 0.874 0.000
Nd: 0.626 0.126 0.000
Nd: 0.874 0.626 0.000
Br: 0.168 0.668 0.000
Br: 0.332 0.168 0.000
Br: 0.668 0.832 0.000
Br: 0.832 0.332 0.000
F: 0.000 0.500 0.500
F: 0.079 0.242 0.500
F: 0.242 0.921 0.500
F: 0.258 0.421 0.500
F: 0.421 0.742 0.500
F: 0.500 0.000 0.500
F: 0.579 0.258 0.500
F: 0.742 0.579 0.500
F: 0.758 0.079 0.500
F: 0.921 0.758 0.500